## Sc2TaBe (PBE-GGA)

Data for an optimized crystal structure of Sc2TaBe.

```
Sc2TaBe
1.0
3.094 0.000 0.000
-1.547 2.679 0.000
0.000 0.000 27.339
Sc Ta Be
6 3 3
Cartesian
0.000 0.000 6.612
0.000 0.000 20.727
0.000 1.786 11.614
0.000 1.786 24.838
1.547 0.893 2.501
1.547 0.893 15.725
0.000 0.000 0.000
0.000 1.786 18.226
1.547 0.893 9.113
0.000 0.000 13.669
0.000 1.786 4.556
1.547 0.893 22.782
```

Output
Formation energy: 1.1 eV/f.u.

## ScTa2Be2 (PBE-GGA)

Data for an optimized crystal structure of ScTa2Be2.

```
ScTa2Be2
1.0
6.960 0.000 0.000
0.000 6.960 0.000
0.000 0.000 3.108
Sc Ta Be
2 4 4
Cartesian
0.000 0.000 0.000
3.480 3.480 0.000
1.237 2.243 1.554
2.243 5.723 1.554
4.717 1.237 1.554
5.723 4.717 1.554
0.778 4.258 0.000
2.703 0.778 0.000
4.258 6.183 0.000
6.183 2.703 0.000
```

Output
Formation energy: 0.3 eV/f.u.

## Sc3TaBe (PBE-GGA)

Data for an optimized crystal structure of Sc3TaBe.

```
Sc3TaBe
1.0
5.084 0.000 0.000
0.000 5.084 0.000
0.000 0.000 5.084
Sc Ta Be
3 1 1
Cartesian
0.000 0.000 2.542
0.000 2.542 0.000
2.542 0.000 0.000
0.000 0.000 0.000
2.542 2.542 2.542
```

Output
Formation energy: 5.5 eV/f.u.
Offset from the most stable computed form: 449.8 meV per atom

## Sc2TaBe (PBE-GGA)

Data for an optimized crystal structure of Sc2TaBe.

```
Sc2TaBe
1.0
7.395 0.000 0.000
0.000 7.395 0.000
0.000 0.000 5.425
Sc Ta Be
8 4 4
Cartesian
1.540 1.849 0.678
1.849 5.238 2.034
1.849 5.855 4.747
2.158 1.849 3.391
5.238 5.547 3.391
5.547 1.540 4.747
5.547 2.158 2.034
5.855 5.547 0.678
0.000 0.000 2.713
0.000 3.698 4.069
3.698 0.000 1.356
3.698 3.698 0.000
0.000 0.000 0.000
0.000 3.698 1.356
3.698 0.000 4.069
3.698 3.698 2.713
```

Output
Formation energy: 2.1 eV/f.u.

## ScTaBe4 (PBE-GGA)

Data for an optimized crystal structure of ScTaBe4.

```
ScTaBe4
1.0
0.000 3.314 3.314
3.314 0.000 3.314
3.314 3.314 0.000
Sc Ta Be
1 1 4
Cartesian
0.000 0.000 0.000
4.971 4.971 4.971
2.505 2.505 2.505
4.123 4.123 2.505
4.123 2.505 4.123
2.505 4.123 4.123
```

Output
Formation energy: -0.2 eV/f.u.

## Sc2TaBe2 (PBE-GGA)

Data for an optimized crystal structure of Sc2TaBe2.

```
Sc2TaBe2
1.0
7.246 0.000 0.000
0.000 7.246 0.000
0.000 0.000 3.130
Sc Ta Be
4 2 4
Cartesian
1.317 2.306 0.000
2.306 5.929 0.000
4.940 1.317 0.000
5.929 4.940 0.000
0.000 0.000 1.565
3.623 3.623 1.565
0.806 4.430 1.565
2.817 0.806 1.565
4.430 6.440 1.565
6.440 2.817 1.565
```

Output
Formation energy: 0.7 eV/f.u.

## Sc2TaBe (PBE-GGA)

Data for an optimized crystal structure of Sc2TaBe.

```
Sc2TaBe
1.0
3.089 0.000 0.000
0.000 3.089 0.000
0.000 0.000 7.804
Sc Ta Be
2 1 1
Cartesian
0.000 0.000 0.000
1.544 1.544 2.640
0.000 0.000 4.693
1.544 1.544 6.165
```

Output
Formation energy: 0.3 eV/f.u.

## ScTa4Be (PBE-GGA)

Data for an optimized crystal structure of ScTa4Be.

```
ScTa4Be
1.0
0.000 3.885 3.885
3.885 0.000 3.885
3.885 3.885 0.000
Sc Ta Be
1 4 1
Cartesian
0.000 0.000 0.000
4.868 2.902 2.902
2.902 4.868 2.902
2.902 2.902 4.868
4.868 4.868 4.868
1.943 1.943 1.943
```

Output
Formation energy: 3.3 eV/f.u.

DFT total energy? In order: -81.3; -74.4; -29.0; -104.7; -33.3; -62.5; -27.9; -54.2 eV/cell.
Ρ? In order: 6.153; 9.372; 4.105; 6.265; 5.976; 5.838; 6.243; 11.011 g/cm3.
Volume? In order: 226.6; 150.6; 131.4; 296.7; 72.8; 164.3; 74.4; 117.3 Å³/cell.